The following is a PBE-GGA calculation of a geometry-optimized Sc2Zn3AgAu2 structure, from OQMD via LeMat-Bulk.

Output
Total energy (eV per atom): -3.68
Formation energy (eV/atom): -0.456
ρ (g cm⁻³): 9.4
Magnetization (Bohr magnetons per cell): 0.0

Cell: 4.622 4.622 6.528 Å, 90.00 90.00 90.00°
Sites, in units of the cell vectors:
Sc 0.000 0.500 0.246
Sc 0.500 0.000 0.754
Zn 0.000 0.000 0.000
Zn 0.000 0.500 0.752
Zn 0.500 0.000 0.248
Ag 0.500 0.500 0.500
Au 0.000 0.000 0.500
Au 0.500 0.500 0.000

---

The following is a PBE-GGA calculation of a geometry-optimized AgAu3Se5 structure, from OQMD via LeMat-Bulk.

Output
Total energy (eV per atom): -3.05
ρ (g cm⁻³): 8.3

Cell: 5.523 5.523 8.298 Å, 90.00 90.00 120.00°
Sites, in units of the cell vectors:
Ag 0.000 0.000 0.000
Au 0.000 0.500 0.500
Au 0.500 0.000 0.500
Au 0.500 0.500 0.500
Se 0.000 0.000 0.500
Se 0.333 0.667 0.137
Se 0.333 0.667 0.863
Se 0.667 0.333 0.137
Se 0.667 0.333 0.863

---

The following is a PBE-GGA calculation of a geometry-optimized AgAuSe2 structure, from OQMD via LeMat-Bulk.

Output
Total energy (eV per atom): -3.25
ρ (g cm⁻³): 9.2

Cell: 3.894 3.894 19.143 Å, 90.00 90.00 120.00°
Sites, in units of the cell vectors:
Ag 0.000 0.000 0.000
Ag 0.333 0.667 0.667
Ag 0.667 0.333 0.333
Au 0.000 0.000 0.500
Au 0.333 0.667 0.166
Au 0.667 0.333 0.834
Se 0.000 0.000 0.246
Se 0.000 0.000 0.754
Se 0.333 0.667 0.420
Se 0.333 0.667 0.913
Se 0.667 0.333 0.087
Se 0.667 0.333 0.580

---

Question: Among the records above, which one has the highest total energy?
Answer: AgAu3Se5

---

Repeat the second record exactly.
The following is a PBE-GGA calculation of a geometry-optimized AgAu3Se5 structure, from OQMD via LeMat-Bulk.

Output
Total energy (eV per atom): -3.05
ρ (g cm⁻³): 8.3

Cell: 5.523 5.523 8.298 Å, 90.00 90.00 120.00°
Sites, in units of the cell vectors:
Ag 0.000 0.000 0.000
Au 0.000 0.500 0.500
Au 0.500 0.000 0.500
Au 0.500 0.500 0.500
Se 0.000 0.000 0.500
Se 0.333 0.667 0.137
Se 0.333 0.667 0.863
Se 0.667 0.333 0.137
Se 0.667 0.333 0.863

---

Question: The lowest total energy belongs to which entry?
Answer: Sc2Zn3AgAu2